Record 1
This record from the Alexandria database describes Rb3Tl2Hg5 after structural relaxation. The functional is GGA-PBE.

DOS(E_F) = 0.49 states/eV/atom
Calculated formation energy = -172 meV/atom
SG = P4/mbm, No. 127

a b c (Å): 4.617 12.791 12.791
angles (deg): 90.00 90.00 90.00
Positions (direct):
Rb  0.000  0.318  0.818
Rb  0.000  0.682  0.182
Rb  0.000  0.182  0.318
Rb  0.000  0.818  0.682
Rb  0.000  0.000  0.000
Rb  0.000  0.500  0.500
Tl  0.000  0.113  0.613
Tl  0.000  0.887  0.387
Tl  0.000  0.387  0.113
Tl  0.000  0.613  0.887
Hg  0.500  0.214  0.058
Hg  0.500  0.786  0.942
Hg  0.500  0.942  0.214
Hg  0.500  0.058  0.786
Hg  0.500  0.286  0.558
Hg  0.500  0.714  0.442
Hg  0.500  0.558  0.714
Hg  0.500  0.442  0.286
Hg  0.500  0.000  0.500
Hg  0.500  0.500  0.000

---

Record 2
This record from the Alexandria database describes Rb12Tl3Hg5 after structural relaxation. The functional is GGA-PBE.

DOS(E_F) = 0.68 states/eV/atom
Calculated formation energy = 11 meV/atom
SG = Ia-3d, No. 230

a b c (Å): 18.866 18.866 18.866
angles (deg): 109.47 109.47 109.47
Positions (direct):
Tl  0.750  0.375  0.125
Tl  0.875  0.750  0.125
Tl  0.375  0.750  0.625
Tl  0.250  0.125  0.375
Tl  0.875  0.125  0.250
Tl  0.375  0.625  0.250
Tl  0.625  0.375  0.750
Tl  0.125  0.875  0.750
Tl  0.750  0.875  0.625
Tl  0.625  0.250  0.375
Tl  0.125  0.250  0.875
Tl  0.250  0.625  0.875
Hg  0.125  0.375  0.250
Hg  0.000  0.500  0.000
Hg  0.000  0.000  0.000
Hg  0.375  0.250  0.125
Hg  0.500  0.000  0.500
Hg  0.500  0.500  0.000
Hg  0.125  0.750  0.375
Hg  0.750  0.125  0.875
Hg  0.750  0.625  0.375
Hg  0.375  0.125  0.750
Hg  0.625  0.875  0.250
Hg  0.500  0.500  0.500
Hg  0.500  0.000  0.000
Hg  0.000  0.000  0.500
Hg  0.250  0.375  0.625
Hg  0.250  0.875  0.125
Hg  0.000  0.500  0.500
Hg  0.875  0.250  0.625
Hg  0.625  0.750  0.875
Hg  0.875  0.625  0.750
Rb  0.725  0.130  0.053
Rb  0.327  0.553  0.423
Rb  0.947  0.370  0.275
Rb  0.553  0.225  0.130
Rb  0.595  0.725  0.673
Rb  0.947  0.577  0.173
Rb  0.327  0.775  0.405
Rb  0.077  0.905  0.130
Rb  0.577  0.947  0.673
Rb  0.725  0.595  0.173
Rb  0.775  0.447  0.370
Rb  0.827  0.923  0.053
Rb  0.130  0.725  0.553
Rb  0.370  0.423  0.095
Rb  0.095  0.923  0.370
Rb  0.405  0.130  0.577
Rb  0.095  0.173  0.225
Rb  0.447  0.673  0.077
Rb  0.827  0.905  0.275
Rb  0.130  0.405  0.077
Rb  0.370  0.947  0.775
Rb  0.577  0.630  0.405
Rb  0.923  0.827  0.553
Rb  0.775  0.327  0.905
Rb  0.423  0.370  0.595
Rb  0.077  0.173  0.447
Rb  0.225  0.673  0.095
Rb  0.173  0.095  0.725
Rb  0.630  0.053  0.225
Rb  0.870  0.595  0.923
Rb  0.553  0.327  0.923
Rb  0.595  0.870  0.423
Rb  0.905  0.827  0.775
Rb  0.905  0.077  0.630
Rb  0.870  0.275  0.447
Rb  0.173  0.077  0.947
Rb  0.630  0.577  0.905
Rb  0.423  0.053  0.327
Rb  0.275  0.405  0.827
Rb  0.225  0.553  0.630
Rb  0.923  0.095  0.870
Rb  0.673  0.225  0.595
Rb  0.447  0.775  0.870
Rb  0.053  0.423  0.827
Rb  0.405  0.275  0.327
Rb  0.053  0.630  0.725
Rb  0.673  0.447  0.577
Rb  0.275  0.870  0.947

---

Record 3
This record from the Alexandria database describes RbTl2Hg6 after structural relaxation. The functional is GGA-PBE.

Energy above the lowest structure with this stoichiometry = 19.1 meV/atom
DOS(E_F) = 0.67 states/eV/atom
Calculated formation energy = -68 meV/atom
SG = P6/mmm, No. 191

a b c (Å): 3.428 9.506 9.506
angles (deg): 120.00 90.00 90.00
Positions (direct):
Rb  0.000  0.000  0.000
Tl  0.000  0.333  0.667
Tl  0.000  0.667  0.333
Hg  0.500  0.339  0.339
Hg  0.500  0.661  0.661
Hg  0.500  0.000  0.661
Hg  0.500  0.661  0.000
Hg  0.500  0.339  0.000
Hg  0.500  0.000  0.339